No. 1
Mg2MoPb | GGA-PBEsol | relaxed

a = 4.0908 Å, b = 4.0908 Å, c = 8.9705 Å
α = 90.00°, β = 90.00°, γ = 90.00°
Closest atoms and distances in Å follow each position.
Space group I-4m2 (No. 119)
Inequivalent atoms, fractional coordinates:
Mg 0.0000 0.0000 0.0000  4 Pb 2.89, 4 Mg 3.04, 4 Mo 3.04
Mg 0.0000 0.5000 0.2500  4 Mo 2.89, 4 Mg 3.04, 4 Pb 3.04
Mo 0.0000 0.5000 0.7500  8 Mg 2.89-3.04, 4 Pb 3.04
Pb 0.0000 0.0000 0.5000  8 Mg 2.89-3.04, 4 Mo 3.04

## Properties
formation energy	0.27	eV per atom

***

No. 2
LiFeSb2 | GGA-PBEsol | relaxed

a = 3.9243 Å, b = 3.9243 Å, c = 9.6680 Å
α = 90.00°, β = 90.00°, γ = 90.00°
Closest atoms and distances in Å follow each position.
Space group I-4m2 (No. 119)
Inequivalent atoms, fractional coordinates:
Li 0.0000 0.0000 0.0000  4 Sb 2.77
Fe 0.0000 0.5000 0.7500  4 Sb 2.77
Sb 0.0000 0.0000 0.5000  4 Li 2.77
Sb 0.0000 0.5000 0.2500  4 Fe 2.77

## Properties
ΔE to the lowest computed polymorph	0.107	eV/atom
ΔE_f (raw)	0.1144	eV per atom

***

No. 3
Zr5Pb4 | GGA-PBEsol | relaxed

a = 8.8442 Å, b = 8.8442 Å, c = 5.9920 Å
α = 90.00°, β = 90.00°, γ = 120.00°
Closest atoms and distances in Å follow each position.
Space group P6_3/mcm (No. 193)
Inequivalent atoms, fractional coordinates:
Zr 0.0000 0.2830 0.2500  7 Pb 2.92-3.13
Zr 0.3333 0.6667 0.0000  2 Zr 3.00, 6 Pb 3.13
Pb 0.0000 0.0000 0.0000  6 Zr 2.92, 2 Pb 3.00
Pb 0.0000 0.3839 0.7500  9 Zr 2.95-3.13

## Properties
formation energy	-0.34	eV per atom

***

No. 4
ZnInAs2Br | GGA-PBEsol | relaxed

a = 5.2223 Å, b = 5.2223 Å, c = 5.3758 Å
α = 90.00°, β = 90.00°, γ = 90.00°
Closest atoms and distances in Å follow each position.
Space group P4/mmm (No. 123)
Inequivalent atoms, fractional coordinates:
Zn 0.0000 0.0000 0.0000  4 Br 3.69, 8 As 3.75
In 0.5000 0.5000 0.5000  4 As 2.61, 2 Br 2.69
As 0.0000 0.5000 0.5000  2 In 2.61
Br 0.5000 0.5000 0.0000  2 In 2.69

## Properties
ΔE_f (raw)	0.7523	eV per atom

***

No. 5
ZrRe2Rh | GGA-PBEsol | relaxed

a = 3.3515 Å, b = 4.2286 Å, c = 8.8880 Å
α = 90.00°, β = 90.00°, γ = 90.00°
Closest atoms and distances in Å follow each position.
Space group Immm (No. 71)
Inequivalent atoms, fractional coordinates:
Zr 0.0000 0.0000 0.0000  4 Rh 2.70, 4 Re 2.74
Re 0.0000 0.5000 0.2560  4 Re 2.70, 2 Zr 2.74, 2 Rh 2.83
Rh 0.0000 0.0000 0.5000  4 Zr 2.70, 4 Re 2.83

## Properties
ΔE to the lowest computed polymorph	0.087	eV/atom
formation energy	-0.01	eV per atom

***

No. 6
K3Zr | GGA-PBEsol | relaxed

a = 3.5524 Å, b = 3.5524 Å, c = 13.9468 Å
α = 90.00°, β = 90.00°, γ = 90.00°
Closest atoms and distances in Å follow each position.
Space group P4/mmm (No. 123)
Inequivalent atoms, fractional coordinates:
K 0.0000 0.0000 0.0000  4 K 3.55
K 0.5000 0.5000 0.2885  4 K 3.55, 4 Zr 3.87
Zr 0.0000 0.0000 0.5000  4 Zr 3.55, 8 K 3.87

## Properties
formation energy	0.75	eV per atom

***

No. 7
Zn12Tc | GGA-PBEsol | relaxed

a = 7.2437 Å, b = 7.2437 Å, c = 7.2437 Å
α = 90.00°, β = 90.00°, γ = 90.00°
Closest atoms and distances in Å follow each position.
Space group Im-3 (No. 204)
Inequivalent atoms, fractional coordinates:
Zn 0.0000 0.3114 0.1861  1 Tc 2.63, 10 Zn 2.65-2.78
Tc 0.0000 0.0000 0.0000  12 Zn 2.63

## Properties
formation energy	0.06	eV per atom

***

No. 8
In2Ni2Sb | GGA-PBEsol | relaxed

a = 3.3830 Å, b = 3.3830 Å, c = 16.7983 Å
α = 90.00°, β = 90.00°, γ = 90.00°
Closest atoms and distances in Å follow each position.
Space group I4/mmm (No. 139)
Inequivalent atoms, fractional coordinates:
In 0.0000 0.0000 0.1308  4 Ni 2.62
Ni 0.0000 0.5000 0.2500  4 Ni 2.39, 4 In 2.62
Sb 0.0000 0.0000 0.5000  8 In 3.25, 4 Sb 3.38

## Properties
ΔE_f (raw)	0.1529	eV per atom

***

No. 9
La5Hg3 | GGA-PBEsol | relaxed

a = 12.4252 Å, b = 12.4252 Å, c = 6.0756 Å
α = 90.00°, β = 90.00°, γ = 90.00°
Closest atoms and distances in Å follow each position.
Space group I4/mcm (No. 140)
Inequivalent atoms, fractional coordinates:
La 0.0000 0.5000 0.2500  2 La 3.04, 4 Hg 3.22
La 0.0875 0.2221 0.0000  6 Hg 3.21-3.49, 1 La 3.35
Hg 0.0000 0.0000 0.2500  2 Hg 3.04, 8 La 3.33
Hg 0.1613 0.3387 0.5000  10 La 3.21-3.49

## Properties
ΔE to the lowest computed polymorph	0.000	eV/atom
formation energy	-0.40	eV per atom

***

No. 10
HgAuCl2 | GGA-PBEsol | relaxed

a = 4.8303 Å, b = 4.8303 Å, c = 6.8832 Å
α = 90.00°, β = 90.00°, γ = 90.00°
Closest atoms and distances in Å follow each position.
Space group I4/mmm (No. 139)
Inequivalent atoms, fractional coordinates:
Hg 0.0000 0.0000 0.0000  8 Cl 2.97
Au 0.0000 0.0000 0.5000  8 Cl 2.97
Cl 0.0000 0.5000 0.2500  4 Hg 2.97, 4 Au 2.97

## Properties
ΔE to the lowest computed polymorph	0.247	eV/atom
ΔE_f (raw)	0.1914	eV per atom

***

No. 11
MgNbAsPt2 | GGA-PBEsol | relaxed

a = 4.6339 Å, b = 4.6339 Å, c = 4.6429 Å
α = 90.00°, β = 90.00°, γ = 90.00°
Closest atoms and distances in Å follow each position.
Space group P4/mmm (No. 123)
Inequivalent atoms, fractional coordinates:
Mg 0.0000 0.0000 0.0000  2 As 2.32
Nb 0.5000 0.5000 0.0000  4 Mg 3.28, 8 Pt 3.28
As 0.0000 0.0000 0.5000  4 Pt 2.32, 2 Mg 2.32
Pt 0.0000 0.5000 0.5000  2 As 2.32

## Properties
formation energy	0.66	eV per atom

***

No. 12
FeTeP2 | GGA-PBEsol | relaxed

a = 2.8666 Å, b = 2.8666 Å, c = 8.3512 Å
α = 90.00°, β = 90.00°, γ = 90.00°
Closest atoms and distances in Å follow each position.
Space group P4/mmm (No. 123)
Inequivalent atoms, fractional coordinates:
Fe 0.0000 0.0000 0.0000  8 P 2.38
Te 0.0000 0.0000 0.5000  4 Te 2.87
P 0.5000 0.5000 0.1502  4 Fe 2.38, 1 P 2.51

## Properties
ΔE_f (raw)	0.0195	eV per atom

***

No. 13
Cd2NiAg | GGA-PBEsol | relaxed

a = 2.9613 Å, b = 2.9613 Å, c = 7.4278 Å
α = 90.00°, β = 90.00°, γ = 90.00°
Closest atoms and distances in Å follow each position.
Space group P4/mmm (No. 123)
Inequivalent atoms, fractional coordinates:
Cd 0.0000 0.0000 0.2240  4 Ni 2.67, 4 Ag 2.93, 4 Cd 2.96
Ni 0.5000 0.5000 0.0000  8 Cd 2.67, 4 Ni 2.96
Ag 0.5000 0.5000 0.5000  8 Cd 2.93, 4 Ag 2.96

## Properties
formation energy	-0.01	eV per atom

***

No. 14
LiMg2Pb | GGA-PBEsol | relaxed

a = 7.0544 Å, b = 7.0544 Å, c = 7.0544 Å
α = 90.00°, β = 90.00°, γ = 90.00°
Closest atoms and distances in Å follow each position.
Space group F-43m (No. 216)
Inequivalent atoms, fractional coordinates:
Li 0.0000 0.0000 0.0000  4 Pb 3.05, 4 Mg 3.05
Mg 0.0000 0.0000 0.5000  4 Pb 3.05, 4 Mg 3.05
Mg 0.2500 0.2500 0.2500  4 Li 3.05, 4 Mg 3.05
Pb 0.2500 0.2500 0.7500  4 Li 3.05, 4 Mg 3.05

## Properties
formation energy	-0.14	eV per atom

***

No. 15
CaLa2Te2 | GGA-PBEsol | relaxed

a = 8.5822 Å, b = 8.5822 Å, c = 4.1940 Å
α = 90.00°, β = 90.00°, γ = 90.00°
Closest atoms and distances in Å follow each position.
Space group P4/mbm (No. 127)
Inequivalent atoms, fractional coordinates:
Ca 0.0000 0.0000 0.0000  4 Te 3.27
La 0.1510 0.3490 0.5000  6 Te 3.21-3.32
Te 0.1487 0.6487 0.0000  6 La 3.21-3.32, 2 Ca 3.27

## Properties
ΔE_f (raw)	-1.2351	eV per atom

***

No. 16
Ni5TeP6O24 | GGA-PBEsol | relaxed

a = 8.4689 Å, b = 8.4689 Å, c = 20.2105 Å
α = 90.00°, β = 90.00°, γ = 120.00°
Closest atoms and distances in Å follow each position.
Space group R3 (No. 146, hexagonal axes)
Inequivalent atoms, fractional coordinates:
Ni 0.0000 0.0000 0.0000  6 O 1.90-1.97
Ni 0.0000 0.0000 0.1357  6 O 2.02-2.18
Ni 0.0000 0.0000 0.5018  6 O 1.91-1.95
Ni 0.0000 0.0000 0.6415  6 O 2.07-2.08
Ni 0.0000 0.0000 0.7816  6 O 1.93-2.00
Te 0.0000 0.0000 0.2821  6 O 1.91-1.98
P 0.0017 0.2988 0.3942  4 O 1.49-1.60
P 0.0510 0.6779 0.5586  4 O 1.49-1.66
O 0.0049 0.8325 0.5672  1 P 1.55
O 0.0079 0.1971 0.4535  1 P 1.49
O 0.0255 0.1826 0.0660  1 P 1.55
O 0.1344 0.4664 0.9931  1 P 1.60
O 0.1370 0.6717 0.4950  1 P 1.49
O 0.1374 0.6735 0.6233  1 P 1.51
O 0.1667 0.4882 0.3806  1 P 1.54
O 0.1750 0.6908 0.8825  1 P 1.66

## Properties
ΔE_f (raw)	-1.4884	eV per atom

***

No. 17
MnZnIn | GGA-PBEsol | relaxed

a = 6.0676 Å, b = 6.0676 Å, c = 6.0676 Å
α = 90.00°, β = 90.00°, γ = 90.00°
Closest atoms and distances in Å follow each position.
Space group F-43m (No. 216)
Inequivalent atoms, fractional coordinates:
Mn 0.0000 0.0000 0.0000  4 Zn 2.63
Zn 0.2500 0.2500 0.2500  4 In 2.63, 4 Mn 2.63
In 0.0000 0.0000 0.5000  4 Zn 2.63

## Properties
formation energy	0.33	eV per atom

***

No. 18
CaMg2Sn2 | GGA-PBEsol | relaxed

a = 4.6052 Å, b = 4.6052 Å, c = 12.4644 Å
α = 90.00°, β = 90.00°, γ = 90.00°
Closest atoms and distances in Å follow each position.
Space group I4/mmm (No. 139)
Inequivalent atoms, fractional coordinates:
Ca 0.0000 0.0000 0.0000  8 Sn 3.55, 8 Mg 3.87
Mg 0.0000 0.5000 0.2500  4 Sn 2.87
Sn 0.0000 0.0000 0.3875  1 Sn 2.81, 4 Mg 2.87

## Properties
formation energy	-0.38	eV per atom

***

No. 19
KAsPt2 | GGA-PBEsol | relaxed

a = 3.9883 Å, b = 3.9883 Å, c = 5.8695 Å
α = 90.00°, β = 90.00°, γ = 90.00°
Closest atoms and distances in Å follow each position.
Space group P4mm (No. 99)
Inequivalent atoms, fractional coordinates:
K 0.0000 0.0000 0.0000  4 Pt 3.33, 4 As 3.40
As 0.5000 0.5000 0.6772  4 Pt 2.38
Pt 0.0000 0.5000 0.4547  2 As 2.38

## Properties
formation energy	-0.26	eV per atom

***

No. 20
ZnNiIr2 | GGA-PBEsol | relaxed

a = 8.7604 Å, b = 2.7123 Å, c = 4.4660 Å
α = 90.00°, β = 100.46°, γ = 90.00°
Closest atoms and distances in Å follow each position.
Space group Cm (No. 8)
Inequivalent atoms, fractional coordinates:
Zn 0.0000 0.0000 0.0000  3 Ni 2.54-2.61, 7 Ir 2.59-2.74, 2 Zn 2.71
Ni 0.2492 0.0000 0.7839  3 Zn 2.54-2.61, 7 Ir 2.59-2.73, 2 Ni 2.71
Ir 0.0029 0.5000 0.5077  5 Ir 2.57-2.71, 4 Zn 2.59-2.64, 3 Ni 2.66-2.73
Ir 0.2559 0.5000 0.2928  5 Ir 2.57-2.71, 4 Ni 2.59-2.64, 3 Zn 2.70-2.74

## Properties
formation energy	-0.07	eV per atom

***

Across the entries above, electronic total energy takes the values -4.533, -4.897, -7.170, -2.577, -10.988, -2.368, -2.264, -4.415, -3.957, -1.935, -5.650, -5.999, -2.980, -2.489, -5.211, -6.906, -4.445, -3.195, -5.303, -6.914 eV/atom, respectively.